[1]
Density functional theory data (PBE) for CsTa after structural relaxation.

abc: 11.5811 11.7033 3.4053
angles: 90.00 90.00 90.00
Element x y z (fractional)
Cs 0.6667 0.7042 0.0000
Cs 0.1667 0.2958 0.5000
Cs 0.8333 0.2958 0.5000
Cs 0.3333 0.7042 0.0000
Cs 0.0000 0.7041 0.0000
Cs 0.5000 0.2959 0.5000
Ta 0.8333 0.9600 0.0000
Ta 0.3333 0.0400 0.5000
Ta 0.6667 0.0400 0.5000
Ta 0.1667 0.9600 0.0000
Ta 0.0000 0.0400 0.5000
Ta 0.5000 0.9600 0.0000

Magnetization (μB per formula unit): 0.0
ΔE to the lowest computed polymorph (meV/atom): 0
SG: No. 59
Energy of formation from the pure elements (eV per atom): 1.07
Calculated total energy (eV/f.u.): -10.6

=====

[2]
Density functional theory data (PBE) for CsTa after structural relaxation.

abc: 14.2839 14.2839 3.2481
angles: 90.00 90.00 120.00
Element x y z (fractional)
Cs 0.6343 0.9519 0.2500
Cs 0.6824 0.6343 0.7500
Cs 0.0481 0.6824 0.2500
Cs 0.3657 0.0481 0.7500
Cs 0.3176 0.3657 0.2500
Cs 0.9519 0.3176 0.7500
Ta 0.4348 0.6631 0.2500
Ta 0.7717 0.4348 0.7500
Ta 0.3369 0.7717 0.2500
Ta 0.5652 0.3369 0.7500
Ta 0.2283 0.5652 0.2500
Ta 0.6631 0.2283 0.7500

Magnetization (μB per formula unit): 0.6
ΔE to the lowest computed polymorph (meV/atom): 380
SG: No. 176
Energy of formation from the pure elements (eV per atom): 1.45
Calculated total energy (eV/f.u.): -9.8

=====

[3]
Density functional theory data (PBE) for CsTa after structural relaxation.

abc: 6.3454 6.3454 6.3454
angles: 90.00 90.00 90.00
Element x y z (fractional)
Cs 0.2500 0.2500 0.2500
Cs 0.2500 0.7500 0.7500
Cs 0.7500 0.2500 0.7500
Cs 0.7500 0.7500 0.2500
Ta 0.0000 0.0000 0.0000
Ta 0.0000 0.5000 0.5000
Ta 0.5000 0.0000 0.5000
Ta 0.5000 0.5000 0.0000

Magnetization (μB per formula unit): 0.0
ΔE to the lowest computed polymorph (meV/atom): 2829
SG: No. 216
Energy of formation from the pure elements (eV per atom): 3.90
Calculated total energy (eV/f.u.): -4.9

=====

[4]
Density functional theory data (PBE) for CsTa after structural relaxation.

abc: 15.7690 4.5946 8.1398
angles: 90.00 90.00 90.00
Element x y z (fractional)
Cs 0.7546 0.4998 0.7573
Cs 0.7454 0.5002 0.2573
Cs 0.2454 0.4998 0.7573
Cs 0.2546 0.5002 0.2573
Cs 0.0000 0.9971 0.0000
Cs 0.5000 0.0029 0.5000
Ta 0.9207 0.0001 0.4961
Ta 0.5793 0.9999 0.9961
Ta 0.0793 0.0001 0.4961
Ta 0.4207 0.9999 0.9961
Ta 0.0000 0.5002 0.4952
Ta 0.5000 0.4998 0.9952

Magnetization (μB per formula unit): 0.0
ΔE to the lowest computed polymorph (meV/atom): 201
SG: No. 31
Energy of formation from the pure elements (eV per atom): 1.27
Calculated total energy (eV/f.u.): -10.2

=====

[5]
Density functional theory data (PBE) for CsTa after structural relaxation.

abc: 12.7477 4.8700 11.9944
angles: 90.00 90.00 90.00
Element x y z (fractional)
Cs 0.3478 0.2500 0.6341
Cs 0.8478 0.2500 0.8659
Cs 0.6522 0.7500 0.3659
Cs 0.1522 0.7500 0.1341
Cs 0.8810 0.2500 0.2170
Cs 0.3810 0.2500 0.2830
Cs 0.1190 0.7500 0.7830
Cs 0.6190 0.7500 0.7170
Ta 0.8654 0.2500 0.5476
Ta 0.3654 0.2500 0.9524
Ta 0.1346 0.7500 0.4524
Ta 0.6346 0.7500 0.0476
Ta 0.0525 0.2500 0.4855
Ta 0.5525 0.2500 0.0145
Ta 0.9475 0.7500 0.5145
Ta 0.4475 0.7500 0.9855

Magnetization (μB per formula unit): 0.0
ΔE to the lowest computed polymorph (meV/atom): 128
SG: No. 62
Energy of formation from the pure elements (eV per atom): 1.20
Calculated total energy (eV/f.u.): -10.3

=====

[6]
Density functional theory data (PBE) for CsTa after structural relaxation.

abc: 16.3136 16.3136 3.2462
angles: 90.00 90.00 90.00
Element x y z (fractional)
Cs 0.4704 0.7540 0.0000
Cs 0.5296 0.2460 0.0000
Cs 0.2460 0.4704 0.0000
Cs 0.7540 0.5296 0.0000
Cs 0.9704 0.2540 0.5000
Cs 0.0296 0.7460 0.5000
Cs 0.7460 0.9704 0.5000
Cs 0.2540 0.0296 0.5000
Ta 0.3098 0.2503 0.0000
Ta 0.6902 0.7497 0.0000
Ta 0.7497 0.3098 0.0000
Ta 0.2503 0.6902 0.0000
Ta 0.8098 0.7503 0.5000
Ta 0.1902 0.2497 0.5000
Ta 0.2497 0.8098 0.5000
Ta 0.7503 0.1902 0.5000

Magnetization (μB per formula unit): 0.0
ΔE to the lowest computed polymorph (meV/atom): 500
SG: No. 87
Energy of formation from the pure elements (eV per atom): 1.57
Calculated total energy (eV/f.u.): -9.6

=====

[7]
Density functional theory data (PBE) for CsTa after structural relaxation.

abc: 7.8460 7.8460 7.6461
angles: 90.00 90.00 90.00
Element x y z (fractional)
Cs 0.1711 0.1711 0.0000
Cs 0.6711 0.3289 0.5000
Cs 0.3289 0.6711 0.5000
Cs 0.8289 0.8289 0.0000
Ta 0.6013 0.3987 0.0000
Ta 0.1013 0.1013 0.5000
Ta 0.8987 0.8987 0.5000
Ta 0.3987 0.6013 0.0000

Magnetization (μB per formula unit): 1.0
ΔE to the lowest computed polymorph (meV/atom): 1082
SG: No. 136
Energy of formation from the pure elements (eV per atom): 2.15
Calculated total energy (eV/f.u.): -8.4

=====

[8]
Density functional theory data (PBE) for CsTa2Tc after structural relaxation.

abc: 4.8140 4.8140 4.8140
angles: 60.00 60.00 60.00
Element x y z (fractional)
Cs 0.5000 0.5000 0.5000
Tc 0.0000 0.0000 0.0000
Ta 0.2500 0.2500 0.2500
Ta 0.7500 0.7500 0.7500

Magnetization (μB per formula unit): 0.0
SG: No. 225
Energy of formation from the pure elements (eV per atom): 1.64
Calculated total energy (eV/f.u.): -28.4